Ba2AlCr3O7: optimized geometry, PBE with a Hubbard U.

Summary:
Calculated total energy = -6.959 eV per atom
Space group = Pmmm, No. 47

Unit cell a=3.8275 b=3.9665 c=11.5636 alpha=90.00 beta=90.00 gamma=90.00
Atoms (fractional coordinates):
Cr (0.0000, 0.0000, 0.5000)
Cr (0.0000, 0.0000, 0.8609)
Al (0.5000, 0.5000, 0.0000)
O (0.0000, 0.5000, 0.1076)
O (0.0000, 0.5000, 0.5000)
Ba (0.5000, 0.5000, 0.3146)
Ba (0.5000, 0.5000, 0.6854)
O (0.0000, 0.0000, 0.6803)
O (0.0000, 0.5000, 0.8924)
Cr (0.0000, 0.0000, 0.1391)
O (0.5000, 0.0000, 0.8927)
O (0.0000, 0.0000, 0.3197)
O (0.5000, 0.0000, 0.1073)